DFT (PBEsol) results for a relaxed TeIrN2F crystal.

Calculated values
calculated density: 9.2 g/cm³
formation energy (no corrections): 1541 meV per atom
polymorph energy (0 for the lowest one): 0.0 meV/atom
E_tot: -4.926 eV/atom

Structure (CIF):
```
data_TeIrN2F
_chemical_formula_sum 'Te1 Ir1 N2 F1'
_space_group_name_H-M_alt 'P 4/m m m'
_space_group_IT_number 123
_space_group_name_Hall '-P 4 2'
_cell_length_a 4.091
_cell_length_b 4.091
_cell_length_c 3.941
_cell_angle_alpha 90.00
_cell_angle_beta 90.00
_cell_angle_gamma 90.00
loop_
_atom_site_label
_atom_site_fract_x
_atom_site_fract_y
_atom_site_fract_z
Te1 0.000 0.000 0.000
Ir1 0.500 0.500 0.500
N1 0.000 0.500 0.000
F1 0.000 0.000 0.500
```